Record 1
A relaxed Ba4ZnOs crystal, computed with GGA-PBE.

Cell and atoms, written as POSCAR:
```
Ba4ZnOs
1.0
0.000 4.819 4.819
4.819 0.000 4.819
4.819 4.819 0.000
Ba Zn Os
4 1 1
Direct
0.124 0.124 0.124
0.124 0.124 0.628
0.124 0.628 0.124
0.628 0.124 0.124
0.500 0.500 0.500
0.750 0.750 0.750
```

Properties
The formation energy is 1.23 eV/atom.


Record 2
A relaxed FeNiI5 crystal, computed with GGA-PBE.

Cell and atoms, written as POSCAR:
```
FeNiI5
1.0
10.304 0.000 0.000
0.000 9.357 0.000
0.000 0.000 11.145
Fe Ni I
4 4 20
Direct
0.125 0.250 0.113
0.375 0.750 0.613
0.625 0.250 0.387
0.875 0.750 0.887
0.126 0.750 0.246
0.374 0.250 0.746
0.626 0.750 0.254
0.874 0.250 0.754
0.086 0.750 0.007
0.124 0.250 0.678
0.127 0.046 0.263
0.127 0.454 0.263
0.167 0.750 0.489
0.333 0.250 0.989
0.373 0.546 0.763
0.373 0.954 0.763
0.376 0.750 0.178
0.414 0.250 0.507
0.586 0.750 0.493
0.624 0.250 0.822
0.627 0.046 0.237
0.627 0.454 0.237
0.667 0.750 0.011
0.833 0.250 0.511
0.873 0.546 0.737
0.873 0.954 0.737
0.876 0.750 0.322
0.914 0.250 0.993
```

Properties
The calculation puts the energy at -3.2092 eV per atom.


Record 3
A relaxed LaCuRe2 crystal, computed with GGA-PBE.

Cell and atoms, written as POSCAR:
```
LaCuRe2
1.0
5.168 -1.455 0.000
5.168 1.455 0.000
-1.061 0.000 4.717
La Cu Re
1 1 2
Direct
0.000 0.000 0.000
0.500 0.500 0.500
0.217 0.217 0.704
0.783 0.783 0.296
```

Properties
The formation energy is 0.52 eV/atom. The value obtained for the relative energy among the computed polymorphs is 396.3 meV per atom.


Record 4
A relaxed Tm7TlZn4 crystal, computed with GGA-PBE.

Cell and atoms, written as POSCAR:
```
Tm7TlZn4
1.0
6.939 -2.797 0.000
6.939 2.797 0.000
-4.363 0.000 7.708
Tm Tl Zn
7 1 4
Direct
0.000 0.000 0.000
0.223 0.223 0.683
0.314 0.314 0.126
0.423 0.423 0.589
0.577 0.577 0.411
0.686 0.686 0.874
0.777 0.777 0.317
0.500 0.500 0.000
0.018 0.018 0.673
0.188 0.188 0.335
0.812 0.812 0.665
0.982 0.982 0.327
```

Properties
The formation energy is -0.09 eV/atom.


Record 5
A relaxed YRuRh4 crystal, computed with GGA-PBE.

Cell and atoms, written as POSCAR:
```
YRuRh4
1.0
0.000 3.687 3.687
3.687 0.000 3.687
3.687 3.687 0.000
Y Ru Rh
1 1 4
Direct
0.000 0.000 0.000
0.250 0.250 0.250
0.126 0.625 0.625
0.625 0.126 0.625
0.625 0.625 0.126
0.625 0.625 0.625
```

Properties
The formation energy is -0.07 eV/atom.


Record 6
A relaxed Rb6Tl3Br14 crystal, computed with GGA-PBE.

Cell and atoms, written as POSCAR:
```
Rb6Tl3Br14
1.0
12.720 0.000 0.000
-6.360 11.016 0.000
0.000 0.000 6.831
Rb Tl Br
6 3 14
Direct
0.010 0.558 0.000
0.325 0.107 0.530
0.442 0.452 0.000
0.548 0.990 0.000
0.782 0.675 0.530
0.893 0.218 0.530
0.000 0.000 0.939
0.333 0.667 0.416
0.667 0.333 0.270
0.000 0.000 0.320
0.078 0.860 0.791
0.140 0.219 0.791
0.194 0.446 0.277
0.253 0.806 0.277
0.333 0.667 0.800
0.428 0.176 0.042
0.508 0.413 0.500
0.554 0.747 0.277
0.587 0.095 0.500
0.748 0.572 0.042
0.781 0.922 0.791
0.824 0.252 0.042
0.905 0.492 0.500
```

Properties
The calculation puts the energy at -2.7487 eV per atom.


Record 7
A relaxed Fe5Hg3Br12 crystal, computed with GGA-PBE.

Cell and atoms, written as POSCAR:
```
Fe5Hg3Br12
1.0
-8.431 8.431 8.431
8.431 -8.431 8.431
8.431 8.431 -8.431
Fe Hg Br
20 12 48
Direct
0.000 0.000 0.000
0.000 0.000 0.500
0.000 0.500 0.000
0.000 0.500 0.500
0.125 0.750 0.875
0.125 0.875 0.250
0.250 0.125 0.875
0.250 0.625 0.375
0.375 0.250 0.625
0.375 0.625 0.750
0.500 0.000 0.000
0.500 0.000 0.500
0.500 0.500 0.000
0.500 0.500 0.500
0.625 0.375 0.250
0.625 0.750 0.375
0.750 0.375 0.625
0.750 0.875 0.125
0.875 0.125 0.750
0.875 0.250 0.125
0.125 0.250 0.375
0.125 0.375 0.750
0.250 0.375 0.125
0.250 0.875 0.625
0.375 0.125 0.250
0.375 0.750 0.125
0.625 0.250 0.875
0.625 0.875 0.750
0.750 0.125 0.375
0.750 0.625 0.875
0.875 0.625 0.250
0.875 0.750 0.625
0.010 0.193 0.109
0.010 0.317 0.901
0.084 0.693 0.683
0.084 0.891 0.401
0.099 0.609 0.416
0.099 0.990 0.683
0.109 0.010 0.193
0.109 0.599 0.916
0.183 0.193 0.584
0.183 0.490 0.599
0.193 0.109 0.010
0.193 0.584 0.183
0.307 0.317 0.916
0.307 0.490 0.391
0.317 0.901 0.010
0.317 0.916 0.307
0.391 0.307 0.490
0.391 0.584 0.901
0.401 0.084 0.891
0.401 0.817 0.510
0.416 0.099 0.609
0.416 0.817 0.807
0.490 0.391 0.307
0.490 0.599 0.183
0.510 0.401 0.817
0.510 0.609 0.693
0.584 0.183 0.193
0.584 0.901 0.391
0.599 0.183 0.490
0.599 0.916 0.109
0.609 0.416 0.099
0.609 0.693 0.510
0.683 0.084 0.693
0.683 0.099 0.990
0.693 0.510 0.609
0.693 0.683 0.084
0.807 0.416 0.817
0.807 0.891 0.990
0.817 0.510 0.401
0.817 0.807 0.416
0.891 0.401 0.084
0.891 0.990 0.807
0.901 0.010 0.317
0.901 0.391 0.584
0.916 0.109 0.599
0.916 0.307 0.317
0.990 0.683 0.099
0.990 0.807 0.891
```

Properties
The calculation puts the energy at -3.4185 eV per atom.


Record 8
A relaxed Rb2CdBr4 crystal, computed with GGA-PBE.

Cell and atoms, written as POSCAR:
```
Rb2CdBr4
1.0
7.998 0.000 0.000
0.000 7.822 0.000
-3.021 0.000 9.176
Rb Cd Br
4 2 8
Direct
0.219 0.250 0.056
0.263 0.250 0.564
0.737 0.750 0.436
0.781 0.750 0.944
0.234 0.750 0.803
0.766 0.250 0.197
0.006 0.005 0.742
0.006 0.495 0.742
0.419 0.750 0.080
0.425 0.750 0.626
0.575 0.250 0.374
0.581 0.250 0.920
0.994 0.505 0.258
0.994 0.995 0.258
```

Properties
The calculation puts the energy at -2.7516 eV per atom.


Record 9
A relaxed AlFeAg2 crystal, computed with GGA-PBE.

Cell and atoms, written as POSCAR:
```
AlFeAg2
1.0
-1.455 2.344 4.609
1.455 -2.344 4.609
1.455 2.344 -4.609
Al Fe Ag
1 1 2
Direct
0.000 0.000 0.000
0.225 0.725 0.500
0.480 0.480 0.000
0.753 0.253 0.500
```

Properties
The formation energy is 0.15 eV/atom.


Record 10
A relaxed Li6Zn crystal, computed with GGA-PBE.

Cell and atoms, written as POSCAR:
```
Li6Zn
1.0
4.609 0.000 0.000
0.000 4.609 0.000
0.000 0.000 6.276
Li Zn
6 1
Direct
0.000 0.000 0.000
0.000 0.500 0.247
0.000 0.500 0.753
0.500 0.000 0.247
0.500 0.000 0.753
0.500 0.500 0.500
0.500 0.500 0.000
```

Properties
The formation energy is 0.02 eV/atom. The value obtained for the relative energy among the computed polymorphs is 72.2 meV per atom.


Record 11
A relaxed Tb4Ga16Fe3 crystal, computed with GGA-PBE.

Cell and atoms, written as POSCAR:
```
Tb4Ga16Fe3
1.0
6.032 0.000 0.000
0.000 6.032 0.000
0.000 0.000 11.217
Tb Ga Fe
4 16 3
Direct
0.000 0.500 0.194
0.000 0.500 0.806
0.500 0.000 0.194
0.500 0.000 0.806
0.000 0.000 0.199
0.000 0.000 0.801
0.219 0.219 0.000
0.219 0.781 0.000
0.252 0.252 0.386
0.252 0.252 0.614
0.252 0.748 0.386
0.252 0.748 0.614
0.500 0.500 0.216
0.500 0.500 0.784
0.748 0.252 0.386
0.748 0.252 0.614
0.748 0.748 0.386
0.748 0.748 0.614
0.781 0.219 0.000
0.781 0.781 0.000
0.000 0.500 0.500
0.500 0.000 0.500
0.500 0.500 0.000
```

Properties
The formation energy is -0.45 eV/atom.


Record 12
A relaxed CaLa2Hg crystal, computed with GGA-PBE.

Cell and atoms, written as POSCAR:
```
CaLa2Hg
1.0
5.031 0.000 0.000
0.000 5.031 0.000
0.000 0.000 5.073
Ca La Hg
1 2 1
Direct
0.000 0.000 0.000
0.000 0.500 0.500
0.500 0.000 0.500
0.500 0.500 0.000
```

Properties
The formation energy is -0.16 eV/atom.


Record 13
A relaxed Ca2Cr2P crystal, computed with GGA-PBE.

Cell and atoms, written as POSCAR:
```
Ca2Cr2P
1.0
6.295 0.000 0.000
0.000 6.295 0.000
0.000 0.000 4.872
Ca Cr P
4 4 2
Direct
0.177 0.323 0.000
0.323 0.823 0.000
0.677 0.177 0.000
0.823 0.677 0.000
0.124 0.624 0.500
0.376 0.124 0.500
0.624 0.876 0.500
0.876 0.376 0.500
0.000 0.000 0.500
0.500 0.500 0.500
```

Properties
The formation energy is 0.22 eV/atom. The value obtained for the relative energy among the computed polymorphs is 0.0 meV per atom.


Record 14
A relaxed BaLi5Cd7 crystal, computed with GGA-PBE.

Cell and atoms, written as POSCAR:
```
BaLi5Cd7
1.0
-2.723 5.199 5.125
2.723 -5.199 5.125
2.723 5.199 -5.125
Ba Li Cd
1 5 7
Direct
0.000 0.000 0.000
0.234 0.734 0.500
0.501 0.001 0.004
0.501 0.497 0.501
0.997 0.001 0.499
0.997 0.497 0.996
0.224 0.502 0.722
0.349 0.349 0.000
0.350 0.994 0.356
0.638 0.994 0.644
0.646 0.646 0.000
0.776 0.276 0.500
0.781 0.502 0.278
```

Properties
The formation energy is -0.21 eV/atom.


Record 15
A relaxed Hg12Se3S5 crystal, computed with GGA-PBE.

Cell and atoms, written as POSCAR:
```
Hg12Se3S5
1.0
-8.177 8.177 8.177
8.177 -8.177 8.177
8.177 8.177 -8.177
Hg Se S
48 12 20
Direct
0.048 0.228 0.114
0.048 0.320 0.934
0.066 0.614 0.386
0.066 0.952 0.680
0.114 0.048 0.228
0.114 0.566 0.886
0.114 0.728 0.680
0.114 0.886 0.434
0.180 0.228 0.614
0.180 0.452 0.566
0.228 0.114 0.048
0.228 0.614 0.180
0.272 0.320 0.886
0.272 0.452 0.386
0.320 0.886 0.272
0.320 0.934 0.048
0.386 0.066 0.614
0.386 0.272 0.452
0.386 0.614 0.934
0.386 0.820 0.772
0.434 0.114 0.886
0.434 0.820 0.548
0.452 0.386 0.272
0.452 0.566 0.180
0.548 0.434 0.820
0.548 0.614 0.728
0.566 0.180 0.452
0.566 0.886 0.114
0.614 0.180 0.228
0.614 0.386 0.066
0.614 0.728 0.548
0.614 0.934 0.386
0.680 0.066 0.952
0.680 0.114 0.728
0.728 0.548 0.614
0.728 0.680 0.114
0.772 0.386 0.820
0.772 0.886 0.952
0.820 0.548 0.434
0.820 0.772 0.386
0.886 0.114 0.566
0.886 0.272 0.320
0.886 0.434 0.114
0.886 0.952 0.772
0.934 0.048 0.320
0.934 0.386 0.614
0.952 0.680 0.066
0.952 0.772 0.886
0.125 0.250 0.375
0.125 0.375 0.750
0.250 0.375 0.125
0.250 0.875 0.625
0.375 0.125 0.250
0.375 0.750 0.125
0.625 0.250 0.875
0.625 0.875 0.750
0.750 0.125 0.375
0.750 0.625 0.875
0.875 0.625 0.250
0.875 0.750 0.625
0.000 0.000 0.000
0.000 0.000 0.500
0.000 0.500 0.000
0.000 0.500 0.500
0.125 0.750 0.875
0.125 0.875 0.250
0.250 0.125 0.875
0.250 0.625 0.375
0.375 0.250 0.625
0.375 0.625 0.750
0.500 0.000 0.000
0.500 0.000 0.500
0.500 0.500 0.000
0.500 0.500 0.500
0.625 0.375 0.250
0.625 0.750 0.375
0.750 0.375 0.625
0.750 0.875 0.125
0.875 0.125 0.750
0.875 0.250 0.125
```

Properties
The calculation puts the energy at -1.6624 eV per atom.